(1)
Here is a relaxed FeCoNiGe crystal from the Open Quantum Materials Database. Energies are from PBE.

```
data_FeCoNiGe
_symmetry_space_group_name_H-M 'F -4 3 m'
_symmetry_Int_Tables_number 216
_symmetry_space_group_name_Hall 'F -4 2 3'
_cell_length_a 5.6881
_cell_length_b 5.6881
_cell_length_c 5.6881
_cell_angle_alpha 90.00
_cell_angle_beta 90.00
_cell_angle_gamma 90.00
loop_
_atom_site_label
_atom_site_fract_x
_atom_site_fract_y
_atom_site_fract_z
Fe1 0.0000 0.0000 0.0000
Co1 0.0000 0.0000 0.5000
Ni1 0.2500 0.2500 0.2500
Ge1 0.2500 0.2500 0.7500
```

Results
Magnetic moment: 11.6 Bohr magnetons per cell
Excess energy over the best structure of this formula in the dataset: 0.037 eV per atom
V: 184.0 Å³/cell

***

(2)
Here is a relaxed FeCoNiGe crystal from the Open Quantum Materials Database. Energies are from PBE.

```
data_FeCoNiGe
_symmetry_space_group_name_H-M 'F -4 3 m'
_symmetry_Int_Tables_number 216
_symmetry_space_group_name_Hall 'F -4 2 3'
_cell_length_a 5.7305
_cell_length_b 5.7305
_cell_length_c 5.7305
_cell_angle_alpha 90.00
_cell_angle_beta 90.00
_cell_angle_gamma 90.00
loop_
_atom_site_label
_atom_site_fract_x
_atom_site_fract_y
_atom_site_fract_z
Fe1 0.0000 0.0000 0.0000
Co1 0.2500 0.2500 0.7500
Ni1 0.2500 0.2500 0.2500
Ge1 0.0000 0.0000 0.5000
```

Results
Magnetic moment: 15.8 Bohr magnetons per cell
Excess energy over the best structure of this formula in the dataset: 0.000 eV per atom
V: 188.2 Å³/cell

***

(3)
Here is a relaxed FeCoReGe crystal from the Open Quantum Materials Database. Energies are from PBE.

```
data_FeCoReGe
_symmetry_space_group_name_H-M 'F -4 3 m'
_symmetry_Int_Tables_number 216
_symmetry_space_group_name_Hall 'F -4 2 3'
_cell_length_a 5.9127
_cell_length_b 5.9127
_cell_length_c 5.9127
_cell_angle_alpha 90.00
_cell_angle_beta 90.00
_cell_angle_gamma 90.00
loop_
_atom_site_label
_atom_site_fract_x
_atom_site_fract_y
_atom_site_fract_z
Fe1 0.0000 0.0000 0.0000
Co1 0.2500 0.2500 0.7500
Re1 0.2500 0.2500 0.2500
Ge1 0.0000 0.0000 0.5000
```

Results
Magnetic moment: 15.5 Bohr magnetons per cell
Excess energy over the best structure of this formula in the dataset: 0.000 eV per atom
V: 206.7 Å³/cell

***

(4)
Here is a relaxed FeCoGeS3 crystal from the Open Quantum Materials Database. Energies are from PBE.

```
data_FeCoGeS3
_symmetry_space_group_name_H-M 'C m c m'
_symmetry_Int_Tables_number 63
_symmetry_space_group_name_Hall '-C 2c 2'
_cell_length_a 3.3805
_cell_length_b 12.4272
_cell_length_c 8.9200
_cell_angle_alpha 90.00
_cell_angle_beta 90.00
_cell_angle_gamma 90.00
loop_
_atom_site_label
_atom_site_fract_x
_atom_site_fract_y
_atom_site_fract_z
Fe1 0.0000 0.0000 0.0000
Co1 0.0000 0.4678 0.2500
Ge1 0.0000 0.2152 0.7500
S1 0.0000 0.0755 0.2500
S2 0.0000 0.3655 0.0509
```

Results
Magnetic moment: 9.3 Bohr magnetons per cell
Excess energy over the best structure of this formula in the dataset: 0.000 eV per atom
V: 374.7 Å³/cell

***

(5)
Here is a relaxed FeCoGeS3 crystal from the Open Quantum Materials Database. Energies are from PBE.

```
data_FeCoGeS3
_symmetry_space_group_name_H-M 'C m c m'
_symmetry_Int_Tables_number 63
_symmetry_space_group_name_Hall '-C 2c 2'
_cell_length_a 3.4170
_cell_length_b 12.3397
_cell_length_c 8.8479
_cell_angle_alpha 90.00
_cell_angle_beta 90.00
_cell_angle_gamma 90.00
loop_
_atom_site_label
_atom_site_fract_x
_atom_site_fract_y
_atom_site_fract_z
Fe1 0.0000 0.0290 0.2500
Co1 0.0000 0.5000 0.0000
Ge1 0.0000 0.2868 0.7500
S1 0.0000 0.1284 0.0456
S2 0.0000 0.4199 0.2500
```

Results
Magnetic moment: 8.9 Bohr magnetons per cell
Excess energy over the best structure of this formula in the dataset: 0.018 eV per atom
V: 373.1 Å³/cell

***

(6)
Here is a relaxed FeCoGeSe3 crystal from the Open Quantum Materials Database. Energies are from PBE.

```
data_FeCoGeSe3
_symmetry_space_group_name_H-M 'C m c m'
_symmetry_Int_Tables_number 63
_symmetry_space_group_name_Hall '-C 2c 2'
_cell_length_a 3.4699
_cell_length_b 13.5331
_cell_length_c 9.5761
_cell_angle_alpha 90.00
_cell_angle_beta 90.00
_cell_angle_gamma 90.00
loop_
_atom_site_label
_atom_site_fract_x
_atom_site_fract_y
_atom_site_fract_z
Fe1 0.0000 0.0434 0.2500
Co1 0.0000 0.5000 0.0000
Ge1 0.0000 0.3050 0.7500
Se1 0.0000 0.1257 0.0329
Se2 0.0000 0.4225 0.2500
```

Results
Magnetic moment: 10.7 Bohr magnetons per cell
Excess energy over the best structure of this formula in the dataset: 0.010 eV per atom
V: 449.7 Å³/cell

***

(7)
Here is a relaxed FeCoGeSe3 crystal from the Open Quantum Materials Database. Energies are from PBE.

```
data_FeCoGeSe3
_symmetry_space_group_name_H-M 'C m c m'
_symmetry_Int_Tables_number 63
_symmetry_space_group_name_Hall '-C 2c 2'
_cell_length_a 3.5020
_cell_length_b 13.1339
_cell_length_c 9.6020
_cell_angle_alpha 90.00
_cell_angle_beta 90.00
_cell_angle_gamma 90.00
loop_
_atom_site_label
_atom_site_fract_x
_atom_site_fract_y
_atom_site_fract_z
Fe1 0.0000 0.0000 0.0000
Co1 0.0000 0.4543 0.2500
Ge1 0.0000 0.1977 0.7500
Se1 0.0000 0.0706 0.2500
Se2 0.0000 0.3660 0.0381
```

Results
Magnetic moment: 10.2 Bohr magnetons per cell
Excess energy over the best structure of this formula in the dataset: 0.000 eV per atom
V: 441.6 Å³/cell

***

(8)
Here is a relaxed Fe2Co4SiGe crystal from the Open Quantum Materials Database. Energies are from PBE.

```
data_Fe2Co4SiGe
_symmetry_space_group_name_H-M 'P -4 m 2'
_symmetry_Int_Tables_number 115
_cell_length_a 3.9806
_cell_length_b 3.9806
_cell_length_c 5.6424
_cell_angle_alpha 90.00
_cell_angle_beta 90.00
_cell_angle_gamma 90.00
loop_
_symmetry_equiv_pos_as_xyz
'x,y,z'
'y,-x,-z'
'-x,-y,z'
'-y,x,-z'
'-x,y,z'
'-y,-x,-z'
'x,-y,z'
'y,x,-z'
loop_
_atom_site_label
_atom_site_fract_x
_atom_site_fract_y
_atom_site_fract_z
Fe1 0.0000 0.5000 0.2447
Co1 0.0000 0.0000 0.5000
Co2 0.0000 0.5000 0.7555
Co3 0.5000 0.5000 0.0000
Si1 0.0000 0.0000 0.0000
Ge1 0.5000 0.5000 0.5000
```

Results
Magnetic moment: 8.2 Bohr magnetons per cell
DFT total energy: -56.3 eV per cell
V: 89.4 Å³/cell

***

(9)
Here is a relaxed FeCoGeTe3 crystal from the Open Quantum Materials Database. Energies are from PBE.

```
data_FeCoGeTe3
_symmetry_space_group_name_H-M 'C m c m'
_symmetry_Int_Tables_number 63
_symmetry_space_group_name_Hall '-C 2c 2'
_cell_length_a 3.7308
_cell_length_b 14.0150
_cell_length_c 10.3439
_cell_angle_alpha 90.00
_cell_angle_beta 90.00
_cell_angle_gamma 90.00
loop_
_atom_site_label
_atom_site_fract_x
_atom_site_fract_y
_atom_site_fract_z
Fe1 0.0000 0.0481 0.2500
Co1 0.0000 0.5000 0.0000
Ge1 0.0000 0.3209 0.7500
Te1 0.0000 0.1282 0.0287
Te2 0.0000 0.4198 0.2500
```

Results
Magnetic moment: 11.9 Bohr magnetons per cell
Excess energy over the best structure of this formula in the dataset: 0.012 eV per atom
V: 540.9 Å³/cell

***

(10)
Here is a relaxed FeCoGeTe3 crystal from the Open Quantum Materials Database. Energies are from PBE.

```
data_FeCoGeTe3
_symmetry_space_group_name_H-M 'C m c m'
_symmetry_Int_Tables_number 63
_symmetry_space_group_name_Hall '-C 2c 2'
_cell_length_a 3.7591
_cell_length_b 13.6051
_cell_length_c 10.4576
_cell_angle_alpha 90.00
_cell_angle_beta 90.00
_cell_angle_gamma 90.00
loop_
_atom_site_label
_atom_site_fract_x
_atom_site_fract_y
_atom_site_fract_z
Fe1 0.0000 0.0000 0.0000
Co1 0.0000 0.4470 0.2500
Ge1 0.0000 0.1820 0.7500
Te1 0.0000 0.0713 0.2500
Te2 0.0000 0.3658 0.0336
```

Results
Magnetic moment: 10.1 Bohr magnetons per cell
Excess energy over the best structure of this formula in the dataset: 0.000 eV per atom
V: 534.8 Å³/cell

***

(11)
Here is a relaxed TmFeCoGe2 crystal from the Open Quantum Materials Database. Energies are from PBE.

```
data_TmFeCoGe2
_symmetry_space_group_name_H-M 'I -4 m 2'
_symmetry_Int_Tables_number 119
_symmetry_space_group_name_Hall 'I -4 -2'
_cell_length_a 3.9708
_cell_length_b 3.9708
_cell_length_c 9.9256
_cell_angle_alpha 90.00
_cell_angle_beta 90.00
_cell_angle_gamma 90.00
loop_
_atom_site_label
_atom_site_fract_x
_atom_site_fract_y
_atom_site_fract_z
Tm1 0.0000 0.0000 0.0000
Fe1 0.0000 0.5000 0.7500
Co1 0.0000 0.5000 0.2500
Ge1 0.0000 0.0000 0.3711
```

Results
Magnetic moment: 0.0 Bohr magnetons per cell
DFT total energy: -63.6 eV per cell
V: 156.5 Å³/cell

***

(12)
Here is a relaxed FeCoGeW crystal from the Open Quantum Materials Database. Energies are from PBE.

```
data_FeCoGeW
_symmetry_space_group_name_H-M 'F -4 3 m'
_symmetry_Int_Tables_number 216
_symmetry_space_group_name_Hall 'F -4 2 3'
_cell_length_a 5.9301
_cell_length_b 5.9301
_cell_length_c 5.9301
_cell_angle_alpha 90.00
_cell_angle_beta 90.00
_cell_angle_gamma 90.00
loop_
_atom_site_label
_atom_site_fract_x
_atom_site_fract_y
_atom_site_fract_z
Fe1 0.0000 0.0000 0.0000
Co1 0.2500 0.2500 0.2500
Ge1 0.2500 0.2500 0.7500
W1 0.0000 0.0000 0.5000
```

Results
Magnetic moment: 6.9 Bohr magnetons per cell
Excess energy over the best structure of this formula in the dataset: 0.122 eV per atom
V: 208.5 Å³/cell